one.
Below is a relaxed Cu2Hg2Bi crystal, with properties calculated at the GGA-PBE level.

a b c (Å): 8.1660 8.1660 3.0505
angles (deg): 90.00 90.00 90.00
Closest atoms and distances in Å follow each position.
Fractional positions:
Cu 0.1641 0.3359 0.0000  6 Hg 2.80-2.87, 2 Cu 3.05
Cu 0.3359 0.8359 0.0000  6 Hg 2.80-2.87, 2 Cu 3.05
Cu 0.6641 0.1641 0.0000  6 Hg 2.80-2.87, 2 Cu 3.05
Cu 0.8359 0.6641 0.0000  6 Hg 2.80-2.87, 2 Cu 3.05
Hg 0.1324 0.6324 0.5000  6 Cu 2.80-2.87, 3 Hg 3.05-3.06
Hg 0.3676 0.1324 0.5000  6 Cu 2.80-2.87, 3 Hg 3.05-3.06
Hg 0.6324 0.8676 0.5000  6 Cu 2.80-2.87, 3 Hg 3.05-3.06
Hg 0.8676 0.3676 0.5000  6 Cu 2.80-2.87, 3 Hg 3.05-3.06
Bi 0.0000 0.0000 0.5000  2 Bi 3.05, 4 Hg 3.19, 8 Cu 3.41
Bi 0.5000 0.5000 0.5000  2 Bi 3.05, 4 Hg 3.19, 8 Cu 3.41

Summary:
space-group type	P4/mbm


two.
Below is a relaxed Cu2Hg2Bi crystal, with properties calculated at the GGA-PBE level.

a b c (Å): 7.5962 7.5962 3.5307
angles (deg): 90.00 90.00 90.00
Closest atoms and distances in Å follow each position.
Fractional positions:
Cu 0.1229 0.3771 0.0000  1 Cu 2.64, 6 Hg 2.83-2.88
Cu 0.3771 0.8771 0.0000  1 Cu 2.64, 6 Hg 2.83-2.88
Cu 0.6229 0.1229 0.0000  1 Cu 2.64, 6 Hg 2.83-2.88
Cu 0.8771 0.6229 0.0000  1 Cu 2.64, 6 Hg 2.83-2.88
Hg 0.1655 0.6655 0.5000  6 Cu 2.83-2.88
Hg 0.3345 0.1655 0.5000  6 Cu 2.83-2.88
Hg 0.6655 0.8345 0.5000  6 Cu 2.83-2.88
Hg 0.8345 0.3345 0.5000  6 Cu 2.83-2.88
Bi 0.0000 0.0000 0.0000  4 Cu 3.01, 8 Hg 3.34
Bi 0.5000 0.5000 0.0000  4 Cu 3.01, 8 Hg 3.34

Summary:
space-group type	P4/mbm


Of them, one has the lowest stability.


one.
Below is a relaxed Cu3HgBi crystal, with properties calculated at the GGA-PBE level.

a b c (Å): 5.0731 5.0731 5.0731
angles (deg): 90.00 90.00 90.00
Closest atoms and distances in Å follow each position.
Fractional positions:
Cu 0.0000 0.0000 0.5000  2 Bi 2.54
Cu 0.0000 0.5000 0.0000  2 Bi 2.54
Cu 0.5000 0.0000 0.0000  2 Bi 2.54
Hg 0.5000 0.5000 0.5000  12 Cu 3.59
Bi 0.0000 0.0000 0.0000  6 Cu 2.54

Summary:
space-group type	Pm-3m


two.
Below is a relaxed Cu3HgBi crystal, with properties calculated at the GGA-PBE level.

a b c (Å): 4.8355 4.8355 4.8355
angles (deg): 90.00 90.00 90.00
Closest atoms and distances in Å follow each position.
Fractional positions:
Cu 0.0000 0.0000 0.5000  2 Hg 2.42
Cu 0.0000 0.5000 0.0000  2 Hg 2.42
Cu 0.5000 0.0000 0.0000  2 Hg 2.42
Hg 0.0000 0.0000 0.0000  6 Cu 2.42
Bi 0.5000 0.5000 0.5000  12 Cu 3.42

Summary:
space-group type	Pm-3m


Of them, two has the lowest stability.


one.
Below is a relaxed InCu2Bi2 crystal, with properties calculated at the GGA-PBE level.

a b c (Å): 8.5775 8.5775 3.2105
angles (deg): 90.00 90.00 90.00
Closest atoms and distances in Å follow each position.
Fractional positions:
In 0.0000 0.0000 0.0000  4 Bi 3.18, 2 In 3.21
In 0.5000 0.5000 0.0000  4 Bi 3.18, 2 In 3.21
Cu 0.1111 0.3889 0.5000  1 Cu 2.70, 4 Bi 2.95
Cu 0.3889 0.8889 0.5000  1 Cu 2.70, 4 Bi 2.95
Cu 0.6111 0.1111 0.5000  1 Cu 2.70, 4 Bi 2.95
Cu 0.8889 0.6111 0.5000  1 Cu 2.70, 4 Bi 2.95
Bi 0.1708 0.6708 0.0000  6 Cu 2.95-3.09, 2 In 3.18, 2 Bi 3.21
Bi 0.3292 0.1708 0.0000  6 Cu 2.95-3.09, 2 In 3.18, 2 Bi 3.21
Bi 0.6708 0.8292 0.0000  6 Cu 2.95-3.09, 2 In 3.18, 2 Bi 3.21
Bi 0.8292 0.3292 0.0000  6 Cu 2.95-3.09, 2 In 3.18, 2 Bi 3.21

Summary:
space-group type	P4/mbm


two.
Below is a relaxed InCu2Bi2 crystal, with properties calculated at the GGA-PBE level.

a b c (Å): 3.4879 3.4879 19.9410
angles (deg): 90.00 90.00 90.00
Closest atoms and distances in Å follow each position.
Fractional positions:
In 0.0000 0.0000 0.0000  4 In 3.49, 8 Bi 3.64
In 0.5000 0.5000 0.5000  4 In 3.49, 8 Bi 3.64
Cu 0.0000 0.5000 0.2500  4 Cu 2.47
Cu 0.0000 0.5000 0.7500  4 Cu 2.47
Cu 0.5000 0.0000 0.2500  4 Cu 2.47
Cu 0.5000 0.0000 0.7500  4 Cu 2.47
Bi 0.0000 0.0000 0.3654  4 Cu 2.89
Bi 0.0000 0.0000 0.6346  4 Cu 2.89
Bi 0.5000 0.5000 0.1346  4 Cu 2.89
Bi 0.5000 0.5000 0.8654  4 Cu 2.89

Summary:
space-group type	I4/mmm


three.
Below is a relaxed InCu2Bi2 crystal, with properties calculated at the GGA-PBE level.

a b c (Å): 4.8113 4.8113 10.8218
angles (deg): 90.00 90.00 90.00
Closest atoms and distances in Å follow each position.
Fractional positions:
In 0.0000 0.0000 0.0000  8 Cu 3.61, 8 Bi 3.62
In 0.5000 0.5000 0.5000  8 Cu 3.61, 8 Bi 3.62
Cu 0.0000 0.0000 0.3873  1 Cu 2.44
Cu 0.0000 0.0000 0.6127  1 Cu 2.44
Cu 0.5000 0.5000 0.1127  1 Cu 2.44
Cu 0.5000 0.5000 0.8873  1 Cu 2.44
Bi 0.0000 0.5000 0.2500  4 Cu 2.83
Bi 0.0000 0.5000 0.7500  4 Cu 2.83
Bi 0.5000 0.0000 0.2500  4 Cu 2.83
Bi 0.5000 0.0000 0.7500  4 Cu 2.83

Summary:
space-group type	I4/mmm


Of them, one has the lowest stability.


one.
Below is a relaxed In2Cu2Bi crystal, with properties calculated at the GGA-PBE level.

a b c (Å): 7.6427 7.6427 3.6453
angles (deg): 90.00 90.00 90.00
Closest atoms and distances in Å follow each position.
Fractional positions:
In 0.1690 0.3310 0.0000  6 Cu 2.88-2.94
In 0.3310 0.8310 0.0000  6 Cu 2.88-2.94
In 0.6690 0.1690 0.0000  6 Cu 2.88-2.94
In 0.8310 0.6690 0.0000  6 Cu 2.88-2.94
Cu 0.1181 0.6181 0.5000  1 Cu 2.55
Cu 0.3819 0.1181 0.5000  1 Cu 2.55
Cu 0.6181 0.8819 0.5000  1 Cu 2.55
Cu 0.8819 0.3819 0.5000  1 Cu 2.55
Bi 0.0000 0.0000 0.5000  4 Cu 3.05, 8 In 3.37
Bi 0.5000 0.5000 0.5000  4 Cu 3.05, 8 In 3.37

Summary:
space-group type	P4/mbm


two.
Below is a relaxed In2Cu2Bi crystal, with properties calculated at the GGA-PBE level.

a b c (Å): 4.1913 4.1913 12.1702
angles (deg): 90.00 90.00 90.00
Closest atoms and distances in Å follow each position.
Fractional positions:
In 0.0000 0.5000 0.2500  4 Cu 2.79, 4 In 2.96
In 0.0000 0.5000 0.7500  4 Cu 2.79, 4 In 2.96
In 0.5000 0.0000 0.2500  4 Cu 2.79, 4 In 2.96
In 0.5000 0.0000 0.7500  4 Cu 2.79, 4 In 2.96
Cu 0.0000 0.0000 0.0992  1 Cu 2.41
Cu 0.0000 0.0000 0.9008  1 Cu 2.41
Cu 0.5000 0.5000 0.4008  1 Cu 2.41
Cu 0.5000 0.5000 0.5992  1 Cu 2.41
Bi 0.0000 0.0000 0.5000  8 Cu 3.20
Bi 0.5000 0.5000 0.0000  8 Cu 3.20

Summary:
space-group type	I4/mmm


three.
Below is a relaxed In2Cu2Bi crystal, with properties calculated at the GGA-PBE level.

a b c (Å): 8.1998 8.1998 3.1583
angles (deg): 90.00 90.00 90.00
Closest atoms and distances in Å follow each position.
Fractional positions:
In 0.1393 0.3607 0.0000  6 Cu 2.86-2.89, 2 In 3.16, 2 Bi 3.17
In 0.3607 0.8607 0.0000  6 Cu 2.86-2.89, 2 In 3.16, 2 Bi 3.17
In 0.6393 0.1393 0.0000  6 Cu 2.86-2.89, 2 In 3.16, 2 Bi 3.17
In 0.8607 0.6393 0.0000  6 Cu 2.86-2.89, 2 In 3.16, 2 Bi 3.17
Cu 0.1548 0.6548 0.5000  6 In 2.86-2.89, 2 Cu 3.16
Cu 0.3452 0.1548 0.5000  6 In 2.86-2.89, 2 Cu 3.16
Cu 0.6548 0.8452 0.5000  6 In 2.86-2.89, 2 Cu 3.16
Cu 0.8452 0.3452 0.5000  6 In 2.86-2.89, 2 Cu 3.16
Bi 0.0000 0.0000 0.0000  2 Bi 3.16, 4 In 3.17, 8 Cu 3.48
Bi 0.5000 0.5000 0.0000  2 Bi 3.16, 4 In 3.17, 8 Cu 3.48

Summary:
space-group type	P4/mbm


Of them, three has the lowest stability.


one.
Below is a relaxed InCuBi crystal, with properties calculated at the GGA-PBE level.

a b c (Å): 6.6496 6.6496 6.6496
angles (deg): 90.00 90.00 90.00
Closest atoms and distances in Å follow each position.
Fractional positions:
In 0.0000 0.0000 0.0000  4 Cu 2.88
In 0.0000 0.5000 0.5000  4 Cu 2.88
In 0.5000 0.0000 0.5000  4 Cu 2.88
In 0.5000 0.5000 0.0000  4 Cu 2.88
Cu 0.2500 0.2500 0.7500  4 In 2.88, 4 Bi 2.88
Cu 0.2500 0.7500 0.2500  4 In 2.88, 4 Bi 2.88
Cu 0.7500 0.2500 0.2500  4 In 2.88, 4 Bi 2.88
Cu 0.7500 0.7500 0.7500  4 In 2.88, 4 Bi 2.88
Bi 0.0000 0.0000 0.5000  4 Cu 2.88
Bi 0.0000 0.5000 0.0000  4 Cu 2.88
Bi 0.5000 0.0000 0.0000  4 Cu 2.88
Bi 0.5000 0.5000 0.5000  4 Cu 2.88

Summary:
space-group type	F-43m


two.
Below is a relaxed InCuBi crystal, with properties calculated at the GGA-PBE level.

a b c (Å): 3.3038 3.3038 12.8248
angles (deg): 90.00 90.00 90.00
Closest atoms and distances in Å follow each position.
Fractional positions:
In 0.0000 0.0000 0.0000  4 Cu 2.88
In 0.5000 0.5000 0.5000  4 Cu 2.88
Cu 0.0000 0.0000 0.3684  4 In 2.88, 4 Bi 2.99
Cu 0.5000 0.5000 0.8684  4 In 2.88, 4 Bi 2.99
Bi 0.0000 0.0000 0.7224  4 Cu 2.99, 4 Bi 3.30
Bi 0.5000 0.5000 0.2224  4 Cu 2.99, 4 Bi 3.30

Summary:
space-group type	I4mm


Of them, two has the lowest stability.


one.
Below is a relaxed In2CuBiPb crystal, with properties calculated at the GGA-PBE level.

a b c (Å): 5.0818 5.0818 5.4896
angles (deg): 90.00 90.00 90.00
Closest atoms and distances in Å follow each position.
Fractional positions:
In 0.0000 0.5000 0.0000  2 Cu 2.54
In 0.5000 0.0000 0.0000  2 Cu 2.54
Cu 0.0000 0.0000 0.0000  4 In 2.54, 2 Pb 2.74
Bi 0.5000 0.5000 0.5000  4 Pb 3.59, 8 In 3.74
Pb 0.0000 0.0000 0.5000  2 Cu 2.74

Summary:
space-group type	P4/mmm


two.
Below is a relaxed In2CuBiPb crystal, with properties calculated at the GGA-PBE level.

a b c (Å): 5.0571 5.0571 5.6109
angles (deg): 90.00 90.00 90.00
Closest atoms and distances in Å follow each position.
Fractional positions:
In 0.0000 0.5000 0.0000  2 Cu 2.53
In 0.5000 0.0000 0.0000  2 Cu 2.53
Cu 0.0000 0.0000 0.0000  4 In 2.53, 2 Bi 2.81
Bi 0.0000 0.0000 0.5000  2 Cu 2.81
Pb 0.5000 0.5000 0.5000  4 Bi 3.58, 8 In 3.78

Summary:
space-group type	P4/mmm


Of them, two has the lowest stability.


one.
Below is a relaxed TlIn2CuBi crystal, with properties calculated at the GGA-PBE level.

a b c (Å): 5.1757 5.1757 5.2674
angles (deg): 90.00 90.00 90.00
Closest atoms and distances in Å follow each position.
Fractional positions:
Tl 0.0000 0.0000 0.0000  2 Cu 2.63
In 0.0000 0.5000 0.5000  2 Cu 2.59
In 0.5000 0.0000 0.5000  2 Cu 2.59
Cu 0.0000 0.0000 0.5000  4 In 2.59, 2 Tl 2.63
Bi 0.5000 0.5000 0.0000  4 Tl 3.66, 8 In 3.69

Summary:
space-group type	P4/mmm


two.
Below is a relaxed TlIn2CuBi crystal, with properties calculated at the GGA-PBE level.

a b c (Å): 5.1392 5.1392 5.4982
angles (deg): 90.00 90.00 90.00
Closest atoms and distances in Å follow each position.
Fractional positions:
Tl 0.0000 0.0000 0.0000  4 Bi 3.63, 8 In 3.76
In 0.0000 0.5000 0.5000  2 Cu 2.57
In 0.5000 0.0000 0.5000  2 Cu 2.57
Cu 0.5000 0.5000 0.5000  4 In 2.57, 2 Bi 2.75
Bi 0.5000 0.5000 0.0000  2 Cu 2.75

Summary:
space-group type	P4/mmm


Of them, one has the lowest stability.


one.
Below is a relaxed KCuBi crystal, with properties calculated at the GGA-PBE level.

a b c (Å): 4.7391 4.7391 8.0426
angles (deg): 90.00 90.00 90.00
Closest atoms and distances in Å follow each position.
Fractional positions:
K 0.2500 0.2500 0.1693  4 Cu 3.56, 5 Bi 3.58-3.97
K 0.7500 0.7500 0.8307  4 Cu 3.56, 5 Bi 3.58-3.97
Cu 0.2500 0.7500 0.5000  4 Bi 2.76
Cu 0.7500 0.2500 0.5000  4 Bi 2.76
Bi 0.2500 0.2500 0.6753  4 Cu 2.76
Bi 0.7500 0.7500 0.3247  4 Cu 2.76

Summary:
space-group type	P4/nmm


two.
Below is a relaxed KCuBi crystal, with properties calculated at the GGA-PBE level.

a b c (Å): 4.5654 4.5654 5.3964
angles (deg): 90.00 90.00 120.00
Closest atoms and distances in Å follow each position.
Fractional positions:
K 0.0000 0.0000 0.0000  6 Cu 3.77-3.78, 6 Bi 3.77
Cu 0.6667 0.3333 0.4990  3 Bi 2.64
Bi 0.3333 0.6667 0.5001  3 Cu 2.64

Summary:
space-group type	P3m1


three.
Below is a relaxed KCuBi crystal, with properties calculated at the GGA-PBE level.

a b c (Å): 7.8295 4.5315 11.4942
angles (deg): 90.00 103.09 90.00
Closest atoms and distances in Å follow each position.
Fractional positions:
K 0.0000 0.0000 0.0000  6 Cu 3.59-3.79, 6 Bi 3.79-3.89
K 0.1605 0.0000 0.4828  1 Cu 3.32, 2 Bi 3.72
K 0.5000 0.5000 0.0000  6 Cu 3.59-3.79, 6 Bi 3.79-3.89
K 0.6605 0.5000 0.4828  1 Cu 3.32, 2 Bi 3.72
Cu 0.2492 0.5000 0.2447  3 Bi 2.61
Cu 0.2599 0.0000 0.7797  3 Bi 2.65
Cu 0.7492 0.0000 0.2447  3 Bi 2.61
Cu 0.7599 0.5000 0.7797  3 Bi 2.65
Bi 0.0812 0.5000 0.7424  3 Cu 2.65
Bi 0.4158 0.0000 0.2459  3 Cu 2.61
Bi 0.5812 0.0000 0.7424  3 Cu 2.65
Bi 0.9158 0.5000 0.2459  3 Cu 2.61

Summary:
space-group type	Cm


Of them, three has the lowest stability.